The following is a GGA+U calculation of K4Ti3NiP6O24 after structural relaxation, from the Alexandria database.

## Properties
Energy: -7.23 eV per atom
SG: No. 4

```
K4Ti3NiP6O24
1.0
-1.595 7.633 -6.233
5.844 -4.343 -6.814
-7.934 -4.769 -3.765
O Ti P K Ni
48 6 12 8 2
Cartesian
0.560 -1.650 -10.325
0.056 -2.931 -7.528
-2.181 3.490 -7.448
-2.768 -6.207 -10.856
-3.493 -1.863 -4.784
-1.740 -4.794 -9.088
0.279 3.839 -7.349
-0.905 -7.191 -9.486
-4.216 -1.603 -9.476
-4.835 0.071 -14.235
-6.348 0.522 -6.743
-0.358 -5.319 -11.082
-0.731 0.784 -11.399
-4.057 0.963 -4.894
-0.187 2.613 -3.000
-2.895 -5.404 -6.641
-2.279 -0.315 -13.078
-0.900 4.314 -9.517
-6.873 -2.093 -8.922
-1.605 -3.498 -5.394
-5.479 -2.619 -11.501
0.428 -1.013 -1.733
-5.585 -2.467 -6.715
-2.701 -2.730 -7.845
1.779 1.078 -9.955
-3.971 -2.451 -13.555
3.851 3.040 -12.523
2.417 -2.127 -7.670
3.121 -1.800 -10.355
-5.178 -6.271 -7.037
-0.748 1.923 -8.736
3.759 0.190 -8.554
-7.462 2.229 -8.240
0.001 0.472 -13.843
-5.979 0.557 -9.285
-4.944 2.345 -7.881
0.899 0.516 -3.971
-4.038 4.328 -9.291
-3.515 -0.371 -7.338
-5.151 0.120 -11.718
-1.909 -0.748 -9.258
0.515 -0.405 -7.564
-3.467 5.914 -7.049
-1.102 -1.390 -4.087
-0.111 -5.463 -6.980
1.191 -1.786 -5.556
4.330 -3.727 -8.432
1.916 -0.904 -12.347
-3.193 -1.033 -14.645
-5.877 -1.107 -10.334
-4.093 4.017 -7.339
0.805 -1.410 -3.678
-1.498 -4.079 -7.250
4.075 -1.771 -8.672
-6.865 -2.711 -7.488
-6.161 1.383 -7.976
-0.868 3.357 -8.280
-1.161 0.761 -12.847
-3.058 -1.317 -8.442
-2.187 -2.490 -4.357
-0.828 -0.584 -0.932
1.784 -1.954 -11.180
-1.417 -5.877 -10.163
-5.303 0.923 -13.028
2.923 1.422 -9.024
1.004 -1.769 -7.119
-3.187 1.598 -10.141
-1.721 -2.640 -11.393
1.697 -4.709 -9.230
0.879 3.149 -11.475
-1.224 4.555 -4.948
-1.440 0.771 -6.029
-5.143 -4.198 -4.661
-4.586 -4.455 -9.385
-4.888 -0.692 -5.858
-0.032 0.130 -9.514
```